1.
VASP calculation (GGA+U) on a relaxed structure of Ba2TmNiO5.

Results
The total energy comes out at -6.282 eV per atom.

The structure in CIF format:
```
data_Ba2TmNiO5
_space_group_name_H-M_alt 'C m c 21'
_space_group_IT_number 36
_space_group_name_Hall 'C 2c -2'
_cell_length_a 3.512
_cell_length_b 15.231
_cell_length_c 11.229
_cell_angle_alpha 90.00
_cell_angle_beta 90.00
_cell_angle_gamma 90.00
loop_
_atom_site_label
_atom_site_type_symbol
_atom_site_fract_x
_atom_site_fract_y
_atom_site_fract_z
Ba1 Ba 0.000 0.113 0.000
Ba2 Ba 0.000 0.136 0.650
Tm1 Tm 0.000 0.200 0.351
Ni1 Ni 0.000 0.450 0.757
O1 O 0.000 0.042 0.332
O2 O 0.000 0.296 0.976
O3 O 0.000 0.326 0.717
O4 O 0.000 0.338 0.330
O5 O 0.000 0.498 0.114
```

2.
VASP calculation (GGA+U) on a relaxed structure of BaTm2NiO5.

Results
The total energy comes out at -7.071 eV per atom.

The structure in CIF format:
```
data_BaTm2NiO5
_space_group_name_H-M_alt 'I m m m'
_space_group_IT_number 71
_space_group_name_Hall '-I 2 2'
_cell_length_a 3.772
_cell_length_b 5.742
_cell_length_c 11.286
_cell_angle_alpha 90.00
_cell_angle_beta 90.00
_cell_angle_gamma 90.00
loop_
_atom_site_label
_atom_site_type_symbol
_atom_site_fract_x
_atom_site_fract_y
_atom_site_fract_z
Ba1 Ba 0.000 0.000 0.000
Tm1 Tm 0.000 0.500 0.203
Ni1 Ni 0.000 0.000 0.500
O1 O 0.000 0.239 0.348
O2 O 0.000 0.500 0.000
```

3.
VASP calculation (GGA+U) on a relaxed structure of BaU2NiO8.

Results
The total energy comes out at -8.235 eV per atom.

The structure in CIF format:
```
data_BaU2NiO8
_space_group_name_H-M_alt 'P 1 2/m 1'
_space_group_IT_number 10
_space_group_name_Hall '-P 2y'
_cell_length_a 5.176
_cell_length_b 7.089
_cell_length_c 5.186
_cell_angle_alpha 90.00
_cell_angle_beta 95.85
_cell_angle_gamma 90.00
loop_
_atom_site_label
_atom_site_type_symbol
_atom_site_fract_x
_atom_site_fract_y
_atom_site_fract_z
Ba1 Ba 0.000 0.000 0.000
U1 U 0.500 0.260 0.500
Ni1 Ni 0.000 0.500 0.000
O1 O 0.216 0.295 0.218
O2 O 0.329 0.500 0.672
O3 O 0.342 0.000 0.661
```

4.
VASP calculation (GGA+U) on a relaxed structure of Ba3UNi2O9.

Results
The total energy comes out at -6.711 eV per atom.

The structure in CIF format:
```
data_Ba3UNi2O9
_space_group_name_H-M_alt 'P -3 m 1'
_space_group_IT_number 164
_space_group_name_Hall '-P 3 2"'
_cell_length_a 5.8290
_cell_length_b 5.8290
_cell_length_c 7.2789
_cell_angle_alpha 90.00
_cell_angle_beta 90.00
_cell_angle_gamma 120.00
loop_
_atom_site_label
_atom_site_type_symbol
_atom_site_fract_x
_atom_site_fract_y
_atom_site_fract_z
Ba1 Ba 0.0000 0.0000 0.0000
Ba2 Ba 0.3333 0.6667 0.6961
U1 U 0.0000 0.0000 0.5000
Ni1 Ni 0.3333 0.6667 0.1633
O1 O 0.0000 0.5000 0.0000
O2 O 0.1668 0.3336 0.3328
```

5.
VASP calculation (GGA+U) on a relaxed structure of Ba2UNiO6.

Results
The total energy comes out at -7.454 eV per atom.

The structure in CIF format:
```
data_Ba2UNiO6
_space_group_name_H-M_alt 'F m -3 m'
_space_group_IT_number 225
_space_group_name_Hall '-F 4 2 3'
_cell_length_a 8.435
_cell_length_b 8.435
_cell_length_c 8.435
_cell_angle_alpha 90.00
_cell_angle_beta 90.00
_cell_angle_gamma 90.00
loop_
_atom_site_label
_atom_site_type_symbol
_atom_site_fract_x
_atom_site_fract_y
_atom_site_fract_z
Ba1 Ba 0.250 0.250 0.250
U1 U 0.000 0.000 0.000
Ni1 Ni 0.000 0.000 0.500
O1 O 0.000 0.000 0.248
```

6.
VASP calculation (GGA+U) on a relaxed structure of BaVNiO4.

Results
The total energy comes out at -6.380 eV per atom.

The structure in CIF format:
```
data_BaVNiO4
_space_group_name_H-M_alt 'P 1 21/m 1'
_space_group_IT_number 11
_space_group_name_Hall '-P 2yb'
_cell_length_a 6.461
_cell_length_b 5.473
_cell_length_c 6.525
_cell_angle_alpha 90.00
_cell_angle_beta 104.20
_cell_angle_gamma 90.00
loop_
_atom_site_label
_atom_site_type_symbol
_atom_site_fract_x
_atom_site_fract_y
_atom_site_fract_z
Ba1 Ba 0.012 0.250 0.255
V1 V 0.362 0.750 0.315
Ni1 Ni 0.495 0.250 0.028
O1 O 0.114 0.750 0.386
O2 O 0.328 0.519 0.078
O3 O 0.385 0.250 0.523
```

7.
VASP calculation (GGA+U) on a relaxed structure of Ba2NiW3O12.

Results
The total energy comes out at -6.970 eV per atom.

The structure in CIF format:
```
data_Ba2NiW3O12
_space_group_name_H-M_alt 'R -3 m'
_space_group_IT_number 166
_space_group_name_Hall '-R 3 2"'
_cell_length_a 7.4556
_cell_length_b 7.4556
_cell_length_c 17.7020
_cell_angle_alpha 90.00
_cell_angle_beta 90.00
_cell_angle_gamma 120.00
loop_
_atom_site_label
_atom_site_type_symbol
_atom_site_fract_x
_atom_site_fract_y
_atom_site_fract_z
Ba1 Ba 0.0000 0.0000 0.1681
Ni1 Ni 0.0000 0.0000 0.5000
W1 W 0.0000 0.5000 0.0000
O1 O 0.0593 0.5296 0.1046
O2 O 0.0877 0.5438 0.3550
```

8.
VASP calculation (GGA+U) on a relaxed structure of Ba2NiWO6.

Results
The total energy comes out at -6.655 eV per atom.

The structure in CIF format:
```
data_Ba2NiWO6
_space_group_name_H-M_alt 'F m -3 m'
_space_group_IT_number 225
_space_group_name_Hall '-F 4 2 3'
_cell_length_a 8.202
_cell_length_b 8.202
_cell_length_c 8.202
_cell_angle_alpha 90.00
_cell_angle_beta 90.00
_cell_angle_gamma 90.00
loop_
_atom_site_label
_atom_site_type_symbol
_atom_site_fract_x
_atom_site_fract_y
_atom_site_fract_z
Ba1 Ba 0.250 0.250 0.250
Ni1 Ni 0.000 0.000 0.000
W1 W 0.000 0.000 0.500
O1 O 0.000 0.000 0.261
```

9.
VASP calculation (GGA+U) on a relaxed structure of Ba3Y5Ni3O15.

Results
The total energy comes out at -7.085 eV per atom.

The structure in CIF format:
```
data_Ba3Y5Ni3O15
_space_group_name_H-M_alt 'C 1 m 1'
_space_group_IT_number 8
_space_group_name_Hall 'C -2y'
_cell_length_a 11.921
_cell_length_b 5.813
_cell_length_c 11.287
_cell_angle_alpha 90.00
_cell_angle_beta 108.71
_cell_angle_gamma 90.00
loop_
_atom_site_label
_atom_site_type_symbol
_atom_site_fract_x
_atom_site_fract_y
_atom_site_fract_z
Ba1 Ba 0.000 0.000 0.000
Ba2 Ba 0.009 0.000 0.339
Ba3 Ba 0.489 0.500 0.658
Y1 Y 0.204 0.500 0.736
Y2 Y 0.208 0.500 0.072
Y3 Y 0.290 0.000 0.598
Y4 Y 0.295 0.000 0.264
Y5 Y 0.295 0.000 0.935
Ni1 Ni 0.001 0.500 0.836
Ni2 Ni 0.008 0.500 0.502
Ni3 Ni 0.019 0.500 0.179
O1 O 0.001 0.500 0.333
O2 O 0.138 0.254 0.563
O3 O 0.142 0.250 0.198
O4 O 0.148 0.264 0.886
O5 O 0.352 0.235 0.784
O6 O 0.357 0.238 0.122
O7 O 0.376 0.215 0.456
O8 O 0.497 0.000 0.664
O9 O 0.498 0.000 0.006
```

10.
VASP calculation (GGA+U) on a relaxed structure of Ba3Y4Ni3O15.

Results
The total energy comes out at -6.671 eV per atom.

The structure in CIF format:
```
data_Ba3Y4Ni3O15
_space_group_name_H-M_alt 'C 1 2/m 1'
_space_group_IT_number 12
_space_group_name_Hall '-C 2y'
_cell_length_a 11.668
_cell_length_b 5.685
_cell_length_c 11.583
_cell_angle_alpha 90.00
_cell_angle_beta 109.30
_cell_angle_gamma 90.00
loop_
_atom_site_label
_atom_site_type_symbol
_atom_site_fract_x
_atom_site_fract_y
_atom_site_fract_z
Ba1 Ba 0.000 0.000 0.000
Ba2 Ba 0.011 0.000 0.674
Y1 Y 0.206 0.500 0.402
Y2 Y 0.208 0.500 0.073
Ni1 Ni 0.000 0.500 0.500
Ni2 Ni 0.010 0.500 0.836
O1 O 0.000 0.500 0.000
O2 O 0.005 0.500 0.673
O3 O 0.125 0.284 0.211
O4 O 0.133 0.255 0.522
O5 O 0.139 0.261 0.897
```

11.
VASP calculation (GGA+U) on a relaxed structure of Ba2YNi3O7.

Results
The total energy comes out at -5.973 eV per atom.

The structure in CIF format:
```
data_Ba2YNi3O7
_space_group_name_H-M_alt 'P m m m'
_space_group_IT_number 47
_space_group_name_Hall '-P 2 2'
_cell_length_a 3.883
_cell_length_b 3.996
_cell_length_c 11.507
_cell_angle_alpha 90.00
_cell_angle_beta 90.00
_cell_angle_gamma 90.00
loop_
_atom_site_label
_atom_site_type_symbol
_atom_site_fract_x
_atom_site_fract_y
_atom_site_fract_z
Ba1 Ba 0.000 0.000 0.182
Y1 Y 0.000 0.000 0.500
Ni1 Ni 0.500 0.500 0.000
Ni2 Ni 0.500 0.500 0.342
O1 O 0.000 0.500 0.376
O2 O 0.500 0.000 0.000
O3 O 0.500 0.000 0.375
O4 O 0.500 0.500 0.163
```

12.
VASP calculation (GGA+U) on a relaxed structure of Ba5Yb8Ni4O21.

Results
The total energy comes out at -5.949 eV per atom.

The structure in CIF format:
```
data_Ba5Yb8Ni4O21
_space_group_name_H-M_alt 'I 4/m'
_space_group_IT_number 87
_space_group_name_Hall '-I 4'
_cell_length_a 13.811
_cell_length_b 13.811
_cell_length_c 5.699
_cell_angle_alpha 90.00
_cell_angle_beta 90.00
_cell_angle_gamma 90.00
loop_
_atom_site_label
_atom_site_type_symbol
_atom_site_fract_x
_atom_site_fract_y
_atom_site_fract_z
Ba1 Ba 0.000 0.000 0.000
Ba2 Ba 0.035 0.640 0.500
Yb1 Yb 0.090 0.141 0.500
Yb2 Yb 0.166 0.748 0.000
Ni1 Ni 0.042 0.245 0.000
O1 O 0.000 0.000 0.500
O2 O 0.035 0.630 0.000
O3 O 0.044 0.819 0.245
O4 O 0.145 0.260 0.241
```